Record 1
A plane-wave DFT calculation with GGA-PBE was carried out for a geometry-optimized BeMoPIr structure.

Calculated values
distance to the lowest polymorph of the same formula	181	meV per atom
energy of formation	-295	meV per atom
total magnetic moment	0.00	μB/atom
SG	Cm (8)
calculated total energy	-7.50	eV per atom

Cell and atoms, written as POSCAR:
```
BeMoPIr
1.0
4.4170 0.0000 0.0031
0.0000 2.8729 0.0000
-2.3019 0.0000 8.0865
P Mo Ir Be
2 2 2 2
Direct
0.4899 0.0000 0.7559
0.4899 0.5000 0.2559
0.6699 0.0000 0.5088
0.6699 0.5000 0.0088
0.0569 0.0000 0.2703
0.0569 0.5000 0.7703
0.1829 0.0000 0.0107
0.1829 0.5000 0.5107
```

***

Record 2
A plane-wave DFT calculation with GGA-PBE was carried out for a geometry-optimized K2TlGaO structure.

Calculated values
total magnetic moment	0.27	μB/atom
SG	P4/mmm (123)
calculated total energy	-2.14	eV per atom

Cell and atoms, written as POSCAR:
```
K2TlGaO
1.0
-6.6547 0.1637 1.3446
-0.9646 -2.0525 -4.5242
0.3989 -6.2054 2.7302
O Tl K Ga
1 1 2 1
Direct
0.5000 0.5000 0.5000
0.0000 0.0000 0.0000
0.0000 0.0000 0.5000
0.5000 0.0000 0.0000
0.0000 0.5000 0.0000
```

***

Record 3
A plane-wave DFT calculation with GGA-PBE was carried out for a geometry-optimized Nd4Sm4Y3 structure.

Calculated values
distance to the lowest polymorph of the same formula	33	meV per atom
energy of formation	46	meV per atom
total magnetic moment	0.00	μB/atom
SG	P-1 (2)
calculated total energy	-5.17	eV per atom

Cell and atoms, written as POSCAR:
```
Nd4Sm4Y3
1.0
3.5893 -0.0002 0.0024
0.0000 5.7314 0.0016
1.7854 2.8426 18.1187
Nd Sm Y
4 4 3
Direct
0.5463 0.5475 0.9078
0.4537 0.4525 0.0922
0.3195 0.8196 0.3601
0.6805 0.1804 0.6399
0.5909 0.0917 0.8189
0.2671 0.2669 0.4661
0.7329 0.7331 0.5340
0.4092 0.9083 0.1810
0.1369 0.6368 0.7272
0.8632 0.3632 0.2728
0.0000 0.0000 0.0000
```

***

Record 4
A plane-wave DFT calculation with GGA-PBE was carried out for a geometry-optimized Ba2AgSb structure.

Calculated values
total magnetic moment	0.01	μB/atom
SG	R3m (160)
calculated total energy	-3.24	eV per atom

Cell and atoms, written as POSCAR:
```
Ba2AgSb
1.0
-2.2052 -7.0217 -5.4072
2.5815 -6.4774 -5.8979
0.7943 -8.8576 -2.0781
Sb Ba Ag
1 2 1
Direct
0.4539 0.4539 0.4539
0.0356 0.0356 0.0356
0.2146 0.2146 0.2146
0.7958 0.7958 0.7958
```